Compound: Pa2NiPN5
Source: Alexandria
Functional: PBE-GGA
Structure: optimized geometry

**Space group**: Cmc2_1
**Formation energy (no corrections)**: -796.8 meV/atom
**ρ**: 9.4 g/cm³

Cell lengths 6.754, 6.754, 10.522 Å; angles 90.00, 90.00, 152.78 degrees
Sites, in units of the cell vectors:
Pa (0.122, 0.878, 0.500)
Pa (0.150, 0.850, 0.165)
Pa (0.850, 0.150, 0.665)
Pa (0.878, 0.122, 0.000)
Ni (0.210, 0.790, 0.908)
Ni (0.790, 0.210, 0.408)
P (0.433, 0.567, 0.248)
P (0.567, 0.433, 0.748)
N (0.054, 0.946, 0.832)
N (0.294, 0.706, 0.517)
N (0.327, 0.673, 0.169)
N (0.352, 0.648, 0.836)
N (0.489, 0.511, 0.623)
N (0.511, 0.489, 0.123)
N (0.648, 0.352, 0.336)
N (0.673, 0.327, 0.669)
N (0.706, 0.294, 0.017)
N (0.946, 0.054, 0.332)

Compound: Ni6PPd2N
Source: Alexandria
Functional: PBE-GGA
Structure: optimized geometry

**Space group**: C2/m
**Formation energy (no corrections)**: -67.8 meV/atom
**ρ**: 8.4 g/cm³

Cell lengths 5.165, 5.165, 6.022 Å; angles 115.39, 115.39, 60.05 degrees
Sites, in units of the cell vectors:
Ni (0.213, 0.739, 0.687)
Ni (0.261, 0.787, 0.313)
Ni (0.262, 0.262, 0.314)
Ni (0.738, 0.738, 0.686)
Ni (0.739, 0.213, 0.687)
Ni (0.787, 0.261, 0.313)
P (0.000, 0.000, 0.000)
Pd (0.290, 0.290, 0.866)
Pd (0.710, 0.710, 0.134)
N (0.500, 0.500, 0.500)

Compound: PmNiPN
Source: Alexandria
Functional: PBE-GGA
Structure: optimized geometry

**Space group**: P4/nmm
**Formation energy (no corrections)**: -1130.2 meV/atom
**ρ**: 7.4 g/cm³

Cell lengths 3.748, 3.748, 7.983 Å; angles 90.00, 90.00, 90.00 degrees
Sites, in units of the cell vectors:
Pm (0.250, 0.250, 0.169)
Pm (0.750, 0.750, 0.831)
Ni (0.250, 0.750, 0.500)
Ni (0.750, 0.250, 0.500)
P (0.250, 0.250, 0.652)
P (0.750, 0.750, 0.348)
N (0.250, 0.250, 0.867)
N (0.750, 0.750, 0.133)

Compound: Pr2NiPN
Source: Alexandria
Functional: PBE-GGA
Structure: optimized geometry

**Space group**: P2_1/m
**Formation energy (no corrections)**: -1128.1 meV/atom
**ρ**: 6.7 g/cm³

Cell lengths 6.374, 3.855, 8.107 Å; angles 90.00, 107.66, 90.00 degrees
Sites, in units of the cell vectors:
Pr (0.205, 0.250, 0.391)
Pr (0.223, 0.250, 0.964)
Pr (0.777, 0.750, 0.036)
Pr (0.795, 0.750, 0.609)
Ni (0.477, 0.750, 0.251)
Ni (0.523, 0.250, 0.749)
P (0.318, 0.750, 0.697)
P (0.682, 0.250, 0.303)
N (0.166, 0.750, 0.169)
N (0.834, 0.250, 0.831)